Record 1
The following is a DFT calculation (PBE) of a geometry-optimized Sc2BeZn structure.

Values from the calculation:
Spin magnetization ... 0.00 μB per cell
Distance to the lowest polymorph of the same formula ... 0.306 eV per atom
Calculated formation energy ... 0.0955 eV/atom

Lattice parameters (Å, degrees): 8.457 3.241 5.735 90.00 102.45 90.00
Positions (direct):
Sc 0.244 0.000 0.235
Sc 0.256 0.500 0.765
Sc 0.744 0.500 0.235
Sc 0.756 0.000 0.765
Be 0.000 0.500 0.000
Be 0.500 0.000 0.000
Zn 0.000 0.000 0.500
Zn 0.500 0.500 0.500

=====

Record 2
The following is a DFT calculation (PBE) of a geometry-optimized PuPa2TaN5 structure.

Values from the calculation:
Spin magnetization ... 9.92 μB per cell
ΔE_f (raw) ... -11.3 eV/f.u.

Lattice parameters (Å, degrees): 7.511 7.511 9.910 90.00 90.00 154.05
Positions (direct):
Pu 0.024 0.976 0.500
Pu 0.976 0.024 0.000
Pa 0.358 0.642 0.311
Pa 0.373 0.627 0.718
Pa 0.627 0.373 0.218
Pa 0.642 0.358 0.811
Ta 0.282 0.718 0.021
Ta 0.718 0.282 0.521
N 0.021 0.979 0.265
N 0.141 0.859 0.008
N 0.196 0.804 0.388
N 0.224 0.776 0.678
N 0.414 0.586 0.101
N 0.586 0.414 0.601
N 0.776 0.224 0.178
N 0.804 0.196 0.888
N 0.859 0.141 0.508
N 0.979 0.021 0.765

=====

Record 3
The following is a DFT calculation (PBE) of a geometry-optimized CeTcP2Pt structure.

Values from the calculation:
Spin magnetization ... 0.47 μB per cell
Calculated formation energy ... -0.8880 eV/atom

Lattice parameters (Å, degrees): 4.043 4.043 10.224 90.00 90.00 90.00
Positions (direct):
Ce 0.000 0.000 0.000
Ce 0.500 0.500 0.500
Tc 0.000 0.500 0.250
Tc 0.500 0.000 0.750
P 0.000 0.000 0.382
P 0.000 0.000 0.618
P 0.500 0.500 0.118
P 0.500 0.500 0.882
Pt 0.000 0.500 0.750
Pt 0.500 0.000 0.250

=====

Record 4
The following is a DFT calculation (PBE) of a geometry-optimized CuOsW2 structure.

Values from the calculation:
Spin magnetization ... 0.00 μB per cell
Distance to the lowest polymorph of the same formula ... 0.154 eV per atom
Calculated formation energy ... 0.3424 eV/atom

Lattice parameters (Å, degrees): 3.121 4.417 8.726 90.00 90.00 90.00
Positions (direct):
Cu 0.000 0.000 0.000
Cu 0.500 0.500 0.000
Os 0.000 0.500 0.246
Os 0.500 0.000 0.246
W 0.000 0.000 0.495
W 0.000 0.500 0.755
W 0.500 0.000 0.755
W 0.500 0.500 0.495

=====

Record 5
The following is a DFT calculation (PBE) of a geometry-optimized NaCa3Pt structure.

Values from the calculation:
Spin magnetization ... 0.00 μB per cell
Distance to the lowest polymorph of the same formula ... 0.143 eV per atom
Calculated formation energy ... -0.3256 eV/atom

Lattice parameters (Å, degrees): 6.551 5.152 9.052 90.00 95.01 90.00
Positions (direct):
Na 0.156 0.250 0.081
Na 0.844 0.750 0.919
Ca 0.019 0.250 0.678
Ca 0.349 0.750 0.906
Ca 0.412 0.250 0.408
Ca 0.588 0.750 0.592
Ca 0.651 0.250 0.094
Ca 0.981 0.750 0.322
Pt 0.493 0.750 0.244
Pt 0.507 0.250 0.756

=====

Record 6
The following is a DFT calculation (PBE) of a geometry-optimized KAg4S3 structure.

Values from the calculation:
Spin magnetization ... 0.00 μB per cell
ΔE_f (raw) ... -1.9 eV/f.u.

Lattice parameters (Å, degrees): 4.280 4.280 9.743 90.00 90.00 90.00
Positions (direct):
K 0.000 0.000 0.000
Ag 0.000 0.500 0.326
Ag 0.000 0.500 0.674
Ag 0.500 0.000 0.326
Ag 0.500 0.000 0.674
S 0.000 0.000 0.500
S 0.500 0.500 0.180
S 0.500 0.500 0.820